Record 1
Density functional theory data (PBE-GGA) for crystalline Cd2InCl at its relaxed geometry.

Output
Excess energy over the best structure of this formula in the dataset, meV/atom: 65
Formation energy from raw total energies, eV per atom: -0.224

Structure (CIF):
```
data_Cd2InCl
_cell_length_a 3.603
_cell_length_b 5.816
_cell_length_c 9.767
_cell_angle_alpha 90.00
_cell_angle_beta 90.00
_cell_angle_gamma 90.00
_space_group_name_H-M_alt 'C m m 2'
_space_group_IT_number 35
_space_group_name_Hall 'C 2 -2'
loop_
_atom_site_label
_atom_site_fract_x
_atom_site_fract_y
_atom_site_fract_z
Cd1 0.000 0.000 0.000
Cd2 0.000 0.500 0.248
In1 0.000 0.000 0.525
Cl1 0.000 0.500 0.795
```

=====

Record 2
Density functional theory data (PBE-GGA) for crystalline CdIn3Cl at its relaxed geometry.

Output
Excess energy over the best structure of this formula in the dataset, meV/atom: 77
Formation energy from raw total energies, eV per atom: 0.128

Structure (CIF):
```
data_CdIn3Cl
_cell_length_a 5.700
_cell_length_b 5.700
_cell_length_c 5.700
_cell_angle_alpha 90.00
_cell_angle_beta 90.00
_cell_angle_gamma 90.00
_space_group_name_H-M_alt 'P m -3 m'
_space_group_IT_number 221
_space_group_name_Hall '-P 4 2 3'
loop_
_atom_site_label
_atom_site_fract_x
_atom_site_fract_y
_atom_site_fract_z
Cd1 0.000 0.000 0.000
In1 0.000 0.500 0.500
Cl1 0.500 0.500 0.500
```

=====

Record 3
Density functional theory data (PBE-GGA) for crystalline Cd3InCl at its relaxed geometry.

Output
Excess energy over the best structure of this formula in the dataset, meV/atom: 0
Formation energy from raw total energies, eV per atom: -0.025

Structure (CIF):
```
data_Cd3InCl
_cell_length_a 5.475
_cell_length_b 5.475
_cell_length_c 5.475
_cell_angle_alpha 90.00
_cell_angle_beta 90.00
_cell_angle_gamma 90.00
_space_group_name_H-M_alt 'P m -3 m'
_space_group_IT_number 221
_space_group_name_Hall '-P 4 2 3'
loop_
_atom_site_label
_atom_site_fract_x
_atom_site_fract_y
_atom_site_fract_z
Cd1 0.000 0.000 0.500
In1 0.000 0.000 0.000
Cl1 0.500 0.500 0.500
```

=====

Record 4
Density functional theory data (PBE-GGA) for crystalline Cd2InCl at its relaxed geometry.

Output
Excess energy over the best structure of this formula in the dataset, meV/atom: 15
Formation energy from raw total energies, eV per atom: -0.273

Structure (CIF):
```
data_Cd2InCl
_cell_length_a 6.003
_cell_length_b 11.781
_cell_length_c 3.593
_cell_angle_alpha 90.00
_cell_angle_beta 123.95
_cell_angle_gamma 90.00
_space_group_name_H-M_alt 'C 1 2/m 1'
_space_group_IT_number 12
_space_group_name_Hall '-C 2y'
loop_
_atom_site_label
_atom_site_fract_x
_atom_site_fract_y
_atom_site_fract_z
Cd1 0.250 0.250 0.000
In1 0.000 0.000 0.500
Cl1 0.000 0.500 0.500
```

=====

| no. | calculated volume (A^3/atom) |
| --- | --- |
| 1 | 25.6 |
| 2 | 37.0 |
| 3 | 32.8 |
| 4 | 26.3 |